[1]
# LiReBi3

A geometry-optimized LiReBi3 structure (PBE-GGA, Alexandria).

a = 5.054 Å, b = 5.054 Å, c = 5.054 Å
α = 90.00°, β = 90.00°, γ = 90.00°
Fractional coordinates of all 5 atoms:
Li (0.000, 0.000, 0.000)
Re (0.500, 0.500, 0.500)
Bi (0.000, 0.000, 0.500)
Bi (0.000, 0.500, 0.000)
Bi (0.500, 0.000, 0.000)

Output
D(E_F) (states/eV/f.u.): 4.1
Energy of formation (eV/f.u.): 5.8
VASP energy (eV per atom): -4.04
Offset from the most stable computed form (meV per atom): 482
Space-group type: Pm-3m


[2]
# LiRe2Bi2

A geometry-optimized LiRe2Bi2 structure (PBE-GGA, Alexandria).

a = 5.129 Å, b = 5.129 Å, c = 9.330 Å
α = 90.00°, β = 90.00°, γ = 90.00°
Fractional coordinates of all 10 atoms:
Li (0.000, 0.000, 0.000)
Li (0.500, 0.500, 0.500)
Re (0.000, 0.000, 0.379)
Re (0.000, 0.000, 0.621)
Re (0.500, 0.500, 0.121)
Re (0.500, 0.500, 0.879)
Bi (0.000, 0.500, 0.250)
Bi (0.000, 0.500, 0.750)
Bi (0.500, 0.000, 0.250)
Bi (0.500, 0.000, 0.750)

Output
D(E_F) (states/eV/f.u.): 3.3
Energy of formation (eV/f.u.): 3.6
VASP energy (eV per atom): -6.19
Offset from the most stable computed form (meV per atom): 0
Space-group type: I4/mmm


[3]
# LiReBi2

A geometry-optimized LiReBi2 structure (PBE-GGA, Alexandria).

a = 6.721 Å, b = 6.721 Å, c = 11.616 Å
α = 90.00°, β = 90.00°, γ = 90.00°
Fractional coordinates of all 16 atoms:
Li (0.000, 0.000, 0.000)
Li (0.000, 0.500, 0.250)
Li (0.500, 0.000, 0.750)
Li (0.500, 0.500, 0.500)
Re (0.000, 0.000, 0.500)
Re (0.000, 0.500, 0.750)
Re (0.500, 0.000, 0.250)
Re (0.500, 0.500, 0.000)
Bi (0.217, 0.250, 0.625)
Bi (0.250, 0.717, 0.875)
Bi (0.250, 0.783, 0.375)
Bi (0.283, 0.250, 0.125)
Bi (0.717, 0.750, 0.125)
Bi (0.750, 0.217, 0.375)
Bi (0.750, 0.283, 0.875)
Bi (0.783, 0.750, 0.625)

Output
D(E_F) (states/eV/f.u.): 2.4
Energy of formation (eV/f.u.): 3.2
VASP energy (eV per atom): -4.73
Offset from the most stable computed form (meV per atom): 387
Space-group type: I-42d


[4]
# LiReBiRh2

A geometry-optimized LiReBiRh2 structure (PBE-GGA, Alexandria).

a = 4.193 Å, b = 4.193 Å, c = 4.561 Å
α = 90.00°, β = 90.00°, γ = 90.00°
Fractional coordinates of all 5 atoms:
Li (0.000, 0.000, 0.000)
Re (0.500, 0.500, 0.500)
Bi (0.000, 0.000, 0.500)
Rh (0.000, 0.500, 0.000)
Rh (0.500, 0.000, 0.000)

Output
D(E_F) (states/eV/f.u.): 3.4
Energy of formation (eV/f.u.): 5.0
VASP energy (eV per atom): -5.59
Space-group type: P4/mmm